# 1
The following is a meta-GGA SCAN calculation of a PBEsol-optimized structure of Ag2HgAu, from the Alexandria database.

Geometry as POSCAR:
```
Ag2HgAu
1.0
5.797 0.000 0.000
0.000 8.107 0.000
0.000 0.000 2.994
Ag Hg Au
4 2 2
Direct
0.250 0.250 0.000 Ag
0.250 0.750 0.000 Ag
0.750 0.250 0.000 Ag
0.750 0.750 0.000 Ag
0.000 0.000 0.500 Hg
0.500 0.500 0.500 Hg
0.000 0.500 0.500 Au
0.500 0.000 0.500 Au
```

Properties
The energy of formation from the pure elements comes out at -9 meV/atom. The value obtained for the uncorrected energy is -400.187 eV/cell.

=====

# 2
The following is a meta-GGA SCAN calculation of a PBEsol-optimized structure of AgHgAu2, from the Alexandria database.

Geometry as POSCAR:
```
AgHgAu2
1.0
4.162 0.000 0.000
0.000 4.162 0.000
0.000 0.000 8.145
Ag Hg Au
2 2 4
Direct
0.000 0.000 0.000 Ag
0.500 0.500 0.500 Ag
0.000 0.500 0.250 Hg
0.500 0.000 0.750 Hg
0.000 0.000 0.500 Au
0.000 0.500 0.750 Au
0.500 0.000 0.250 Au
0.500 0.500 0.000 Au
```

Properties
The energy of formation from the pure elements comes out at -1 meV/atom. The value obtained for the uncorrected energy is -475.704 eV/cell.

=====

# 3
The following is a meta-GGA SCAN calculation of a PBEsol-optimized structure of Ag2HgAu, from the Alexandria database.

Geometry as POSCAR:
```
Ag2HgAu
1.0
9.599 0.000 0.000
0.000 2.966 0.000
-0.894 0.000 4.946
Ag Hg Au
4 2 2
Direct
0.000 0.000 0.000 Ag
0.248 0.500 0.244 Ag
0.500 0.500 0.000 Ag
0.748 0.000 0.244 Ag
0.247 0.000 0.746 Hg
0.747 0.500 0.746 Hg
0.495 0.000 0.488 Au
0.995 0.500 0.488 Au
```

Properties
The energy of formation from the pure elements comes out at -5 meV/atom. The value obtained for the uncorrected energy is -400.150 eV/cell.

=====

# 4
The following is a meta-GGA SCAN calculation of a PBEsol-optimized structure of AgHgAu2, from the Alexandria database.

Geometry as POSCAR:
```
AgHgAu2
1.0
9.574 0.000 0.000
0.000 2.982 0.000
-0.915 0.000 4.956
Ag Hg Au
2 2 4
Direct
0.000 0.000 0.000 Ag
0.500 0.500 0.000 Ag
0.253 0.500 0.256 Hg
0.753 0.000 0.256 Hg
0.005 0.500 0.509 Au
0.253 0.000 0.758 Au
0.505 0.000 0.509 Au
0.753 0.500 0.758 Au
```

Properties
The energy of formation from the pure elements comes out at 15 meV/atom. The value obtained for the uncorrected energy is -475.577 eV/cell.

=====

# 5
The following is a meta-GGA SCAN calculation of a PBEsol-optimized structure of AgHgAu2, from the Alexandria database.

Geometry as POSCAR:
```
AgHgAu2
1.0
9.715 0.000 0.000
0.000 2.911 0.000
-0.826 0.000 5.000
Ag Hg Au
2 2 4
Direct
0.000 0.000 0.000 Ag
0.500 0.500 0.000 Ag
0.000 0.500 0.500 Hg
0.500 0.000 0.500 Hg
0.246 0.500 0.243 Au
0.254 0.000 0.757 Au
0.746 0.000 0.243 Au
0.754 0.500 0.757 Au
```

Properties
The energy of formation from the pure elements comes out at 19 meV/atom. The value obtained for the uncorrected energy is -475.540 eV/cell.

=====

# 6
The following is a meta-GGA SCAN calculation of a PBEsol-optimized structure of Ag2HgAu, from the Alexandria database.

Geometry as POSCAR:
```
Ag2HgAu
1.0
3.319 0.000 0.000
0.000 3.319 0.000
0.000 0.000 6.429
Ag Hg Au
2 1 1
Direct
0.000 0.000 0.000 Ag
0.500 0.500 0.237 Ag
0.500 0.500 0.741 Hg
0.000 0.000 0.476 Au
```

Properties
The energy of formation from the pure elements comes out at 29 meV/atom. The value obtained for the uncorrected energy is -199.940 eV/cell.

=====

# 7
The following is a meta-GGA SCAN calculation of a PBEsol-optimized structure of AgHgAu2, from the Alexandria database.

Geometry as POSCAR:
```
AgHgAu2
1.0
2.949 0.000 0.000
0.000 2.949 0.000
0.000 0.000 8.157
Ag Hg Au
1 1 2
Direct
0.000 0.000 0.000 Ag
0.500 0.500 0.257 Hg
0.000 0.000 0.519 Au
0.500 0.500 0.761 Au
```

Properties
The energy of formation from the pure elements comes out at 28 meV/atom. The value obtained for the uncorrected energy is -237.734 eV/cell.

=====

# 8
The following is a meta-GGA SCAN calculation of a PBEsol-optimized structure of Ag2HgAu, from the Alexandria database.

Geometry as POSCAR:
```
Ag2HgAu
1.0
4.955 0.000 0.000
0.000 3.000 0.000
-1.664 0.000 4.746
Ag Hg Au
2 1 1
Direct
0.000 0.000 0.000 Ag
0.000 0.500 0.500 Ag
0.500 0.000 0.500 Hg
0.500 0.500 0.000 Au
```

Properties
The energy of formation from the pure elements comes out at 16 meV/atom. The value obtained for the uncorrected energy is -199.992 eV/cell.

=====

# 9
The following is a meta-GGA SCAN calculation of a PBEsol-optimized structure of AgHgAu2, from the Alexandria database.

Geometry as POSCAR:
```
AgHgAu2
1.0
2.983 0.000 0.000
0.000 4.075 0.000
0.000 0.000 5.817
Ag Hg Au
1 1 2
Direct
0.000 0.000 0.000 Ag
0.000 0.000 0.500 Hg
0.500 0.500 0.242 Au
0.500 0.500 0.758 Au
```

Properties
The energy of formation from the pure elements comes out at 12 meV/atom. The value obtained for the uncorrected energy is -237.798 eV/cell.

=====

# 10
The following is a meta-GGA SCAN calculation of a PBEsol-optimized structure of AgHgAu2, from the Alexandria database.

Geometry as POSCAR:
```
AgHgAu2
1.0
4.114 0.000 0.000
0.000 4.114 0.000
0.000 0.000 4.160
Ag Hg Au
1 1 2
Direct
0.000 0.000 0.000 Ag
0.500 0.500 0.000 Hg
0.000 0.500 0.500 Au
0.500 0.000 0.500 Au
```

Properties
The energy of formation from the pure elements comes out at -4 meV/atom. The value obtained for the uncorrected energy is -237.862 eV/cell.

=====

# 11
The following is a meta-GGA SCAN calculation of a PBEsol-optimized structure of AgHgAu2, from the Alexandria database.

Geometry as POSCAR:
```
AgHgAu2
1.0
2.942 0.000 0.000
-1.471 2.548 0.000
0.000 0.000 28.580
Ag Hg Au
3 3 6
Direct
0.000 0.000 0.000 Ag
0.333 0.667 0.667 Ag
0.667 0.333 0.333 Ag
0.000 0.000 0.500 Hg
0.333 0.667 0.167 Hg
0.667 0.333 0.833 Hg
0.000 0.000 0.254 Au
0.000 0.000 0.746 Au
0.333 0.667 0.413 Au
0.333 0.667 0.920 Au
0.667 0.333 0.080 Au
0.667 0.333 0.587 Au
```

Properties
The energy of formation from the pure elements comes out at 35 meV/atom. The value obtained for the uncorrected energy is -713.116 eV/cell.

=====

# 12
The following is a meta-GGA SCAN calculation of a PBEsol-optimized structure of Ag2HgAu, from the Alexandria database.

Geometry as POSCAR:
```
Ag2HgAu
1.0
4.143 0.000 0.000
0.000 4.143 0.000
0.000 0.000 8.179
Ag Hg Au
4 2 2
Direct
0.000 0.000 0.000 Ag
0.000 0.500 0.250 Ag
0.500 0.000 0.750 Ag
0.500 0.500 0.500 Ag
0.000 0.500 0.750 Hg
0.500 0.000 0.250 Hg
0.000 0.000 0.500 Au
0.500 0.500 0.000 Au
```

Properties
The energy of formation from the pure elements comes out at -17 meV/atom. The value obtained for the uncorrected energy is -400.250 eV/cell.

=====

# 13
The following is a meta-GGA SCAN calculation of a PBEsol-optimized structure of Ag2HgAu, from the Alexandria database.

Geometry as POSCAR:
```
Ag2HgAu
1.0
2.971 0.000 0.000
-1.485 2.573 0.000
0.000 0.000 27.870
Ag Hg Au
6 3 3
Direct
0.000 0.000 0.248 Ag
0.000 0.000 0.752 Ag
0.333 0.667 0.419 Ag
0.333 0.667 0.914 Ag
0.667 0.333 0.086 Ag
0.667 0.333 0.581 Ag
0.000 0.000 0.000 Hg
0.333 0.667 0.667 Hg
0.667 0.333 0.333 Hg
0.000 0.000 0.500 Au
0.333 0.667 0.167 Au
0.667 0.333 0.833 Au
```

Properties
The energy of formation from the pure elements comes out at 25 meV/atom. The value obtained for the uncorrected energy is -599.869 eV/cell.

=====

# 14
The following is a meta-GGA SCAN calculation of a PBEsol-optimized structure of AgHgAu2, from the Alexandria database.

Geometry as POSCAR:
```
AgHgAu2
1.0
4.112 0.000 0.000
0.000 4.112 0.000
0.000 0.000 8.338
Ag Hg Au
2 2 4
Direct
0.000 0.000 0.000 Ag
0.500 0.500 0.500 Ag
0.000 0.000 0.500 Hg
0.500 0.500 0.000 Hg
0.000 0.500 0.250 Au
0.000 0.500 0.750 Au
0.500 0.000 0.250 Au
0.500 0.000 0.750 Au
```

Properties
The energy of formation from the pure elements comes out at 2 meV/atom. The value obtained for the uncorrected energy is -475.676 eV/cell.

=====

# 15
The following is a meta-GGA SCAN calculation of a PBEsol-optimized structure of Ag2HgAu, from the Alexandria database.

Geometry as POSCAR:
```
Ag2HgAu
1.0
4.161 0.000 0.000
0.000 4.161 0.000
0.000 0.000 4.051
Ag Hg Au
2 1 1
Direct
0.000 0.500 0.000 Ag
0.500 0.000 0.000 Ag
0.000 0.000 0.500 Hg
0.500 0.500 0.500 Au
```

Properties
The energy of formation from the pure elements comes out at -16 meV/atom. The value obtained for the uncorrected energy is -200.120 eV/cell.

=====

# 16
The following is a meta-GGA SCAN calculation of a PBEsol-optimized structure of AgHgAu, from the Alexandria database.

Geometry as POSCAR:
```
AgHgAu
1.0
2.972 0.000 0.000
0.000 2.972 0.000
0.000 0.000 12.256
Ag Hg Au
2 2 2
Direct
0.000 0.000 0.000 Ag
0.500 0.500 0.500 Ag
0.000 0.000 0.331 Hg
0.500 0.500 0.831 Hg
0.000 0.000 0.657 Au
0.500 0.500 0.157 Au
```

Properties
The energy of formation from the pure elements comes out at 30 meV/atom. The value obtained for the uncorrected energy is -337.202 eV/cell.

=====

# 17
The following is a meta-GGA SCAN calculation of a PBEsol-optimized structure of Ag2HgAu, from the Alexandria database.

Geometry as POSCAR:
```
Ag2HgAu
1.0
6.553 0.000 0.000
0.000 6.553 0.000
0.000 0.000 6.553
Ag Hg Au
8 4 4
Direct
0.000 0.000 0.000 Ag
0.000 0.500 0.500 Ag
0.250 0.250 0.250 Ag
0.250 0.750 0.750 Ag
0.500 0.000 0.500 Ag
0.500 0.500 0.000 Ag
0.750 0.250 0.750 Ag
0.750 0.750 0.250 Ag
0.250 0.250 0.750 Hg
0.250 0.750 0.250 Hg
0.750 0.250 0.250 Hg
0.750 0.750 0.750 Hg
0.000 0.000 0.500 Au
0.000 0.500 0.000 Au
0.500 0.000 0.000 Au
0.500 0.500 0.500 Au
```

Properties
The energy of formation from the pure elements comes out at 10 meV/atom. The value obtained for the uncorrected energy is -800.064 eV/cell.

=====

# 18
The following is a meta-GGA SCAN calculation of a PBEsol-optimized structure of Ag2HgAu, from the Alexandria database.

Geometry as POSCAR:
```
Ag2HgAu
1.0
2.952 0.000 0.000
-1.476 2.556 0.000
0.000 0.000 28.303
Ag Hg Au
6 3 3
Direct
0.000 0.000 0.000 Ag
0.000 0.000 0.254 Ag
0.333 0.667 0.667 Ag
0.333 0.667 0.920 Ag
0.667 0.333 0.333 Ag
0.667 0.333 0.587 Ag
0.000 0.000 0.752 Hg
0.333 0.667 0.419 Hg
0.667 0.333 0.086 Hg
0.000 0.000 0.506 Au
0.333 0.667 0.173 Au
0.667 0.333 0.840 Au
```

Properties
The energy of formation from the pure elements comes out at 40 meV/atom. The value obtained for the uncorrected energy is -599.689 eV/cell.

=====

# 19
The following is a meta-GGA SCAN calculation of a PBEsol-optimized structure of AgAuI2, from the Alexandria database.

Geometry as POSCAR:
```
AgAuI2
1.0
6.393 0.000 0.000
0.000 6.393 0.000
0.000 0.000 12.811
Ag Au I
4 4 8
Direct
0.000 0.000 0.000 Ag
0.000 0.500 0.250 Ag
0.500 0.000 0.750 Ag
0.500 0.500 0.500 Ag
0.000 0.000 0.500 Au
0.000 0.500 0.750 Au
0.500 0.000 0.250 Au
0.500 0.500 0.000 Au
0.246 0.250 0.625 I
0.250 0.746 0.875 I
0.250 0.754 0.375 I
0.254 0.250 0.125 I
0.746 0.750 0.125 I
0.750 0.246 0.375 I
0.750 0.254 0.875 I
0.754 0.750 0.625 I
```

Properties
The formation energy (no corrections) is -34 meV/atom. The value obtained for the uncorrected energy is -696.571 eV/cell.

=====

# 20
The following is a meta-GGA SCAN calculation of a PBEsol-optimized structure of Ag2Au2I, from the Alexandria database.

Geometry as POSCAR:
```
Ag2Au2I
1.0
3.982 0.000 0.000
0.000 3.982 0.000
0.000 0.000 13.213
Ag Au I
4 4 2
Direct
0.000 0.500 0.250 Ag
0.000 0.500 0.750 Ag
0.500 0.000 0.250 Ag
0.500 0.000 0.750 Ag
0.000 0.000 0.104 Au
0.000 0.000 0.896 Au
0.500 0.500 0.396 Au
0.500 0.500 0.604 Au
0.000 0.000 0.500 I
0.500 0.500 0.000 I
```

Properties
The formation energy (no corrections) is 224 meV/atom. The value obtained for the uncorrected energy is -473.344 eV/cell.